VASP calculation (PBE) on crystalline Ac2CrInS6 at its relaxed geometry.

Unit cell a=6.674 b=7.229 c=11.690 alpha=90.00 beta=124.58 gamma=90.00
Positions (direct):
1 Ac 0.218 0.093 0.250
2 Ac 0.218 0.407 0.750
3 Ac 0.782 0.593 0.250
4 Ac 0.782 0.907 0.750
5 Cr 0.000 0.000 0.500
6 Cr 0.000 0.500 0.000
7 In 0.500 0.000 0.000
8 In 0.500 0.500 0.500
9 S 0.126 0.202 0.951
10 S 0.126 0.298 0.451
11 S 0.255 0.681 0.954
12 S 0.255 0.819 0.454
13 S 0.341 0.014 0.740
14 S 0.341 0.486 0.240
15 S 0.659 0.514 0.760
16 S 0.659 0.986 0.260
17 S 0.745 0.181 0.546
18 S 0.745 0.319 0.046
19 S 0.874 0.702 0.549
20 S 0.874 0.798 0.049

Space group: P2_1/c, No. 14
Uncorrected energy in eV per atom: -5.93
ΔE_f (raw) in eV/atom: -1.39

=====

VASP calculation (PBE) on crystalline KAc2CrN4 at its relaxed geometry.

Unit cell a=6.080 b=5.680 c=6.159 alpha=61.65 beta=55.30 gamma=63.05
Positions (direct):
1 K 0.000 0.000 0.000
2 Ac 0.240 0.240 0.260
3 Ac 0.740 0.740 0.760
4 Cr 0.456 0.456 0.544
5 N 0.151 0.509 0.849
6 N 0.374 0.740 0.260
7 N 0.509 0.151 0.491
8 N 0.740 0.374 0.626

Space group: Fmm2, No. 42
Uncorrected energy in eV per atom: -7.27
ΔE_f (raw) in eV/atom: -0.74

=====

Question: Which value of uncorrected energy does entry 1 give?
Answer: -5.93 eV per atom